1.
Density functional theory data (GGA-PBE) for an optimized crystal structure of Li6AlAg12.

abc: 6.8850 6.8850 6.8850
angles: 90.29 90.29 90.29
Last column: nearest neighbours and their distance in Å.
Sites, in units of the cell vectors:
Li (0.2207, 0.7736, 0.3866)  7 Ag 2.69-2.88, 1 Al 2.81, 2 Li 2.93
Li (0.2264, 0.6134, 0.7793)  7 Ag 2.69-2.88, 1 Al 2.81, 2 Li 2.93
Li (0.3866, 0.2207, 0.7736)  7 Ag 2.69-2.88, 1 Al 2.81, 2 Li 2.93
Li (0.6134, 0.7793, 0.2264)  7 Ag 2.69-2.88, 1 Al 2.81, 2 Li 2.93
Li (0.7736, 0.3866, 0.2207)  7 Ag 2.69-2.88, 1 Al 2.81, 2 Li 2.93
Li (0.7793, 0.2264, 0.6134)  7 Ag 2.69-2.88, 1 Al 2.81, 2 Li 2.93
Al (0.5000, 0.5000, 0.5000)  6 Ag 2.70, 6 Li 2.81
Ag (0.0309, 0.3013, 0.9406)  4 Li 2.69-2.88, 4 Ag 2.83-2.89
Ag (0.0594, 0.9691, 0.6987)  4 Li 2.69-2.88, 4 Ag 2.83-2.89
Ag (0.1386, 0.3484, 0.4830)  1 Al 2.70, 3 Li 2.76-2.79, 4 Ag 2.85-2.93
Ag (0.3013, 0.9406, 0.0309)  4 Li 2.69-2.88, 4 Ag 2.83-2.89
Ag (0.3484, 0.4830, 0.1386)  1 Al 2.70, 3 Li 2.76-2.79, 4 Ag 2.85-2.93
Ag (0.4830, 0.1386, 0.3484)  1 Al 2.70, 3 Li 2.76-2.79, 4 Ag 2.85-2.93
Ag (0.5170, 0.8614, 0.6516)  1 Al 2.70, 3 Li 2.76-2.79, 4 Ag 2.85-2.93
Ag (0.6516, 0.5170, 0.8614)  1 Al 2.70, 3 Li 2.76-2.79, 4 Ag 2.85-2.93
Ag (0.6987, 0.0594, 0.9691)  4 Li 2.69-2.88, 4 Ag 2.83-2.89
Ag (0.8614, 0.6516, 0.5170)  1 Al 2.70, 3 Li 2.76-2.79, 4 Ag 2.85-2.93
Ag (0.9406, 0.0309, 0.3013)  4 Li 2.69-2.88, 4 Ag 2.83-2.89
Ag (0.9691, 0.6987, 0.0594)  4 Li 2.69-2.88, 4 Ag 2.83-2.89

The space-group type is R-3. The crystal system is trigonal.

2.
Density functional theory data (GGA-PBE) for an optimized crystal structure of LiAl6Ag12.

abc: 7.6061 7.6061 7.6061
angles: 110.82 110.82 110.82
Last column: nearest neighbours and their distance in Å.
Sites, in units of the cell vectors:
Li (0.0000, 0.0000, 0.0000)  12 Ag 2.90-2.93
Al (0.0500, 0.5675, 0.3563)  9 Ag 2.75-2.89, 3 Al 2.92-2.94
Al (0.3563, 0.0500, 0.5675)  9 Ag 2.75-2.89, 3 Al 2.92-2.94
Al (0.4325, 0.6437, 0.9500)  9 Ag 2.75-2.89, 3 Al 2.92-2.94
Al (0.5675, 0.3563, 0.0500)  9 Ag 2.75-2.89, 3 Al 2.92-2.94
Al (0.6437, 0.9500, 0.4325)  9 Ag 2.75-2.89, 3 Al 2.92-2.94
Al (0.9500, 0.4325, 0.6437)  9 Ag 2.75-2.89, 3 Al 2.92-2.94
Ag (0.1059, 0.1712, 0.7366)  5 Al 2.79-2.89, 6 Ag 2.83-3.01, 1 Li 2.93
Ag (0.1712, 0.7366, 0.1059)  5 Al 2.79-2.89, 6 Ag 2.83-3.01, 1 Li 2.93
Ag (0.2054, 0.3242, 0.4728)  4 Al 2.75-2.89, 7 Ag 2.83-3.01, 1 Li 2.90
Ag (0.2634, 0.8941, 0.8288)  5 Al 2.79-2.89, 6 Ag 2.83-3.01, 1 Li 2.93
Ag (0.3242, 0.4728, 0.2054)  4 Al 2.75-2.89, 7 Ag 2.83-3.01, 1 Li 2.90
Ag (0.4728, 0.2054, 0.3242)  4 Al 2.75-2.89, 7 Ag 2.83-3.01, 1 Li 2.90
Ag (0.5272, 0.7946, 0.6758)  4 Al 2.75-2.89, 7 Ag 2.83-3.01, 1 Li 2.90
Ag (0.6758, 0.5272, 0.7946)  4 Al 2.75-2.89, 7 Ag 2.83-3.01, 1 Li 2.90
Ag (0.7366, 0.1059, 0.1712)  5 Al 2.79-2.89, 6 Ag 2.83-3.01, 1 Li 2.93
Ag (0.7946, 0.6758, 0.5272)  4 Al 2.75-2.89, 7 Ag 2.83-3.01, 1 Li 2.90
Ag (0.8288, 0.2634, 0.8941)  5 Al 2.79-2.89, 6 Ag 2.83-3.01, 1 Li 2.93
Ag (0.8941, 0.8288, 0.2634)  5 Al 2.79-2.89, 6 Ag 2.83-3.01, 1 Li 2.93

The space-group type is R-3. The crystal system is trigonal.

3.
Density functional theory data (GGA-PBE) for an optimized crystal structure of Li6AlAg3.

abc: 8.8963 8.8963 5.1220
angles: 90.00 90.00 121.58
Last column: nearest neighbours and their distance in Å.
Sites, in units of the cell vectors:
Li (0.0394, 0.4389, 0.0313)  2 Ag 2.64-2.83, 2 Al 2.73-2.75, 3 Li 2.74-2.84
Li (0.0528, 0.9472, 0.5000)  1 Al 2.97, 6 Ag 2.98-3.32, 6 Li 3.04-3.09
Li (0.3016, 0.6984, 0.6972)  1 Ag 2.63, 4 Li 2.74-2.84, 2 Al 2.86-2.93
Li (0.3027, 0.3757, 0.8458)  4 Ag 2.66-2.81, 5 Li 2.79-2.98
Li (0.3757, 0.3027, 0.3458)  4 Ag 2.66-2.81, 5 Li 2.79-2.98
Li (0.4389, 0.0394, 0.5313)  2 Ag 2.64-2.83, 2 Al 2.73-2.75, 3 Li 2.74-2.84
Li (0.5611, 0.9606, 0.0313)  2 Ag 2.64-2.83, 2 Al 2.73-2.75, 3 Li 2.74-2.84
Li (0.6243, 0.6973, 0.8458)  4 Ag 2.66-2.81, 5 Li 2.79-2.98
Li (0.6973, 0.6243, 0.3458)  4 Ag 2.66-2.81, 5 Li 2.79-2.98
Li (0.6984, 0.3016, 0.1972)  1 Ag 2.63, 4 Li 2.74-2.84, 2 Al 2.86-2.93
Li (0.9472, 0.0528, 0.0000)  1 Al 2.97, 6 Ag 2.98-3.32, 6 Li 3.04-3.09
Li (0.9606, 0.5611, 0.5313)  2 Ag 2.64-2.83, 2 Al 2.73-2.75, 3 Li 2.74-2.84
Al (0.2145, 0.7855, 0.1892)  3 Ag 2.55-2.63, 4 Li 2.73-2.75
Al (0.7855, 0.2145, 0.6892)  3 Ag 2.55-2.63, 4 Li 2.73-2.75
Ag (0.0724, 0.2947, 0.4598)  1 Al 2.55, 3 Li 2.64-2.72
Ag (0.2947, 0.0724, 0.9598)  1 Al 2.55, 3 Li 2.64-2.72
Ag (0.3827, 0.6173, 0.2469)  7 Li 2.63-2.83, 1 Al 2.63
Ag (0.6173, 0.3827, 0.7469)  7 Li 2.63-2.83, 1 Al 2.63
Ag (0.7053, 0.9276, 0.4598)  1 Al 2.55, 3 Li 2.64-2.72
Ag (0.9276, 0.7053, 0.9598)  1 Al 2.55, 3 Li 2.64-2.72

The space-group type is Cmc2_1. The crystal system is orthorhombic.

4.
Density functional theory data (GGA-PBE) for an optimized crystal structure of Li2Al3Ag3.

abc: 5.0922 5.0922 13.1791
angles: 90.00 90.00 129.05
Last column: nearest neighbours and their distance in Å.
Sites, in units of the cell vectors:
Li (0.2330, 0.7670, 0.6291)  4 Ag 2.58-2.79, 4 Al 2.72-2.87
Li (0.2330, 0.7670, 0.8709)  4 Ag 2.58-2.79, 4 Al 2.72-2.87
Li (0.7670, 0.2330, 0.1291)  4 Ag 2.58-2.79, 4 Al 2.72-2.87
Li (0.7670, 0.2330, 0.3709)  4 Ag 2.58-2.79, 4 Al 2.72-2.87
Al (0.0755, 0.9245, 0.0850)  2 Al 2.64, 5 Ag 2.77-2.93, 3 Li 2.87-2.90
Al (0.0755, 0.9245, 0.4150)  2 Al 2.64, 5 Ag 2.77-2.93, 3 Li 2.87-2.90
Al (0.2384, 0.7616, 0.2500)  2 Al 2.64, 5 Ag 2.72-2.88, 4 Li 2.72
Al (0.7616, 0.2384, 0.7500)  2 Al 2.64, 5 Ag 2.72-2.88, 4 Li 2.72
Al (0.9245, 0.0755, 0.5850)  2 Al 2.64, 5 Ag 2.77-2.93, 3 Li 2.87-2.90
Al (0.9245, 0.0755, 0.9150)  2 Al 2.64, 5 Ag 2.77-2.93, 3 Li 2.87-2.90
Ag (0.3744, 0.6256, 0.0581)  3 Li 2.58-2.79, 2 Al 2.77-2.82, 1 Ag 2.77
Ag (0.3744, 0.6256, 0.4419)  3 Li 2.58-2.79, 2 Al 2.77-2.82, 1 Ag 2.77
Ag (0.4658, 0.5342, 0.7500)  2 Li 2.67, 3 Al 2.72-2.88, 2 Ag 2.92
Ag (0.5342, 0.4658, 0.2500)  2 Li 2.67, 3 Al 2.72-2.88, 2 Ag 2.92
Ag (0.6256, 0.3744, 0.5581)  3 Li 2.58-2.79, 2 Al 2.77-2.82, 1 Ag 2.77
Ag (0.6256, 0.3744, 0.9419)  3 Li 2.58-2.79, 2 Al 2.77-2.82, 1 Ag 2.77

The space-group type is Cmcm. The energy above the most stable polymorph in this dataset comes out at 31 kJ/mol of formula units. The crystal system is orthorhombic.

5.
Density functional theory data (GGA-PBE) for an optimized crystal structure of Li3Al12Ag.

abc: 4.0420 4.0420 16.1435
angles: 90.00 90.00 90.00
Last column: nearest neighbours and their distance in Å.
Sites, in units of the cell vectors:
Li (0.0000, 0.0000, 0.0000)  12 Al 2.84-2.86
Li (0.0000, 0.0000, 0.2452)  12 Al 2.82-2.87
Li (0.0000, 0.0000, 0.7548)  12 Al 2.82-2.87
Al (0.0000, 0.5000, 0.1232)  4 Li 2.82-2.84, 8 Al 2.84-2.86
Al (0.0000, 0.5000, 0.3715)  8 Al 2.84-2.90, 2 Li 2.87, 2 Ag 2.90
Al (0.0000, 0.5000, 0.6285)  8 Al 2.84-2.90, 2 Li 2.87, 2 Ag 2.90
Al (0.0000, 0.5000, 0.8768)  4 Li 2.82-2.84, 8 Al 2.84-2.86
Al (0.5000, 0.0000, 0.1232)  4 Li 2.82-2.84, 8 Al 2.84-2.86
Al (0.5000, 0.0000, 0.3715)  8 Al 2.84-2.90, 2 Li 2.87, 2 Ag 2.90
Al (0.5000, 0.0000, 0.6285)  8 Al 2.84-2.90, 2 Li 2.87, 2 Ag 2.90
Al (0.5000, 0.0000, 0.8768)  4 Li 2.82-2.84, 8 Al 2.84-2.86
Al (0.5000, 0.5000, 0.0000)  8 Al 2.84, 4 Li 2.86
Al (0.5000, 0.5000, 0.2481)  8 Al 2.84-2.85, 4 Li 2.86
Al (0.5000, 0.5000, 0.5000)  4 Ag 2.86, 8 Al 2.90
Al (0.5000, 0.5000, 0.7519)  8 Al 2.84-2.85, 4 Li 2.86
Ag (0.0000, 0.0000, 0.5000)  12 Al 2.86-2.90

The space-group type is P4/mmm. The crystal system is tetragonal.

6.
Density functional theory data (GGA-PBE) for an optimized crystal structure of LiAl2Ag2.

abc: 2.9108 4.6176 12.7220
angles: 90.00 90.00 90.00
Last column: nearest neighbours and their distance in Å.
Sites, in units of the cell vectors:
Li (0.2500, 0.2500, 0.2468)  2 Li 2.91, 6 Ag 3.00-3.01, 6 Al 3.04
Li (0.7500, 0.7500, 0.7532)  2 Li 2.91, 6 Ag 3.00-3.01, 6 Al 3.04
Al (0.2500, 0.2500, 0.6476)  5 Ag 2.58-2.86
Al (0.2500, 0.7500, 0.9628)  4 Ag 2.72-2.79, 6 Al 2.89-2.91, 2 Li 3.04
Al (0.7500, 0.2500, 0.0372)  4 Ag 2.72-2.79, 6 Al 2.89-2.91, 2 Li 3.04
Al (0.7500, 0.7500, 0.3524)  5 Ag 2.58-2.86
Ag (0.2500, 0.2500, 0.8504)  5 Al 2.58-2.79
Ag (0.2500, 0.7500, 0.5457)  4 Al 2.65-2.86, 2 Ag 2.91
Ag (0.7500, 0.2500, 0.4543)  4 Al 2.65-2.86, 2 Ag 2.91
Ag (0.7500, 0.7500, 0.1496)  5 Al 2.58-2.79

The space-group type is Pmmn. The energy above the most stable polymorph in this dataset comes out at 8 kJ/mol of formula units. The crystal system is orthorhombic.

7.
Density functional theory data (GGA-PBE) for an optimized crystal structure of Li5Al2Ag12.

abc: 8.3455 8.3455 8.3184
angles: 106.10 106.10 39.06
Last column: nearest neighbours and their distance in Å.
Sites, in units of the cell vectors:
Li (0.0000, 0.0000, 0.0000)  6 Ag 2.51-2.61
Li (0.2803, 0.2803, 0.0789)  7 Ag 2.64-2.90
Li (0.3616, 0.3616, 0.6319)  7 Ag 2.54-2.84
Li (0.6384, 0.6384, 0.3681)  7 Ag 2.54-2.84
Li (0.7197, 0.7197, 0.9211)  7 Ag 2.64-2.90
Al (0.2546, 0.7454, 0.5000)  4 Ag 2.72-2.80, 2 Al 2.74-2.84, 2 Li 3.04
Al (0.7454, 0.2546, 0.5000)  4 Ag 2.72-2.80, 2 Al 2.74-2.84, 2 Li 3.04
Ag (0.0433, 0.5496, 0.3703)  3 Li 2.54-2.84, 4 Ag 2.75-2.84
Ag (0.0880, 0.0880, 0.7780)  1 Li 2.61, 2 Al 2.72, 2 Ag 2.84
Ag (0.1141, 0.6107, 0.8982)  4 Li 2.51-2.70, 2 Ag 2.77-2.81
Ag (0.3893, 0.8859, 0.1018)  4 Li 2.51-2.70, 2 Ag 2.77-2.81
Ag (0.4504, 0.9567, 0.6297)  3 Li 2.54-2.84, 4 Ag 2.75-2.84
Ag (0.4728, 0.4728, 0.1959)  1 Li 2.58, 2 Al 2.80
Ag (0.5272, 0.5272, 0.8041)  1 Li 2.58, 2 Al 2.80
Ag (0.5496, 0.0433, 0.3703)  3 Li 2.54-2.84, 4 Ag 2.75-2.84
Ag (0.6107, 0.1141, 0.8982)  4 Li 2.51-2.70, 2 Ag 2.77-2.81
Ag (0.8859, 0.3893, 0.1018)  4 Li 2.51-2.70, 2 Ag 2.77-2.81
Ag (0.9120, 0.9120, 0.2220)  1 Li 2.61, 2 Al 2.72, 2 Ag 2.84
Ag (0.9567, 0.4504, 0.6297)  3 Li 2.54-2.84, 4 Ag 2.75-2.84

The space-group type is C2/m. The energy above the most stable polymorph in this dataset comes out at 269 kJ/mol of formula units. The crystal system is monoclinic.

8.
Density functional theory data (GGA-PBE) for an optimized crystal structure of Li5AlAg.

abc: 5.0355 5.0355 9.7889
angles: 99.08 99.08 102.25
Last column: nearest neighbours and their distance in Å.
Sites, in units of the cell vectors:
Li (0.0709, 0.2694, 0.0398)  5 Li 2.58-2.89, 2 Al 2.83-2.84
Li (0.1515, 0.8485, 0.7500)  6 Li 2.58-2.85, 2 Al 2.67, 1 Ag 2.85
Li (0.2694, 0.0709, 0.5398)  5 Li 2.58-2.89, 2 Al 2.83-2.84
Li (0.3634, 0.4192, 0.8516)  6 Li 2.64-2.92, 2 Ag 2.82, 2 Al 2.88-2.94
Li (0.4192, 0.3634, 0.3516)  6 Li 2.64-2.92, 2 Ag 2.82, 2 Al 2.88-2.94
Li (0.5808, 0.6366, 0.6484)  6 Li 2.64-2.92, 2 Ag 2.82, 2 Al 2.88-2.94
Li (0.6366, 0.5808, 0.1484)  6 Li 2.64-2.92, 2 Ag 2.82, 2 Al 2.88-2.94
Li (0.7306, 0.9291, 0.4602)  5 Li 2.58-2.89, 2 Al 2.83-2.84
Li (0.8485, 0.1515, 0.2500)  6 Li 2.58-2.85, 2 Al 2.67, 1 Ag 2.85
Li (0.9291, 0.7306, 0.9602)  5 Li 2.58-2.89, 2 Al 2.83-2.84
Al (0.0000, 0.5000, 0.5000)  10 Li 2.67-2.94
Al (0.5000, 0.0000, 0.0000)  10 Li 2.67-2.94
Ag (0.2119, 0.7881, 0.2500)  9 Li 2.82-2.94
Ag (0.7881, 0.2119, 0.7500)  9 Li 2.82-2.94

The space-group type is C2/c. The energy above the most stable polymorph in this dataset comes out at 0 kJ/mol of formula units. The crystal system is monoclinic.

9.
Density functional theory data (GGA-PBE) for an optimized crystal structure of Li12Al2Ag.

abc: 5.3828 5.3828 21.1963
angles: 90.00 90.00 118.36
Last column: nearest neighbours and their distance in Å.
Sites, in units of the cell vectors:
Li (0.9995, 0.4995, 0.1272)  8 Li 2.73-3.02, 2 Al 2.95-3.04, 1 Ag 2.98
Li (0.0005, 0.5005, 0.8728)  8 Li 2.73-3.02, 2 Al 2.95-3.04, 1 Ag 2.98
Li (0.0031, 0.9969, 0.9348)  2 Ag 2.69-2.70, 5 Li 2.76-2.97
Li (0.0222, 0.5222, 0.6273)  5 Li 2.51-2.73
Li (0.0738, 0.9262, 0.4480)  3 Li 2.59-2.73
Li (0.2500, 0.2500, 0.1959)  5 Li 2.52-2.76
Li (0.2500, 0.2500, 0.3150)  5 Li 2.52-2.76
Li (0.2500, 0.2500, 0.6850)  5 Li 2.52-2.76
Li (0.2500, 0.2500, 0.8041)  5 Li 2.52-2.76
Li (0.4262, 0.5738, 0.4480)  3 Li 2.59-2.73
Li (0.4778, 0.9778, 0.6273)  5 Li 2.51-2.73
Li (0.4969, 0.5031, 0.9348)  2 Ag 2.69-2.70, 5 Li 2.76-2.97
Li (0.5005, 0.0005, 0.1272)  8 Li 2.73-3.02, 2 Al 2.95-3.04, 1 Ag 2.98
Li (0.4995, 0.9995, 0.8728)  8 Li 2.73-3.02, 2 Al 2.95-3.04, 1 Ag 2.98
Li (0.5031, 0.4969, 0.0652)  2 Ag 2.69-2.70, 5 Li 2.76-2.97
Li (0.5222, 0.0222, 0.3727)  5 Li 2.51-2.73
Li (0.5738, 0.4262, 0.5520)  3 Li 2.59-2.73
Li (0.7500, 0.7500, 0.1959)  5 Li 2.52-2.76
Li (0.7500, 0.7500, 0.3150)  5 Li 2.52-2.76
Li (0.7500, 0.7500, 0.6850)  5 Li 2.52-2.76
Li (0.7500, 0.7500, 0.8041)  5 Li 2.52-2.76
Li (0.9262, 0.0738, 0.5520)  3 Li 2.59-2.73
Li (0.9778, 0.4778, 0.3727)  5 Li 2.51-2.73
Li (0.9969, 0.0031, 0.0652)  2 Ag 2.69-2.70, 5 Li 2.76-2.97
Al (0.2500, 0.7500, 0.2551)  2 Al 2.76, 12 Li 2.91-3.04
Al (0.2500, 0.7500, 0.7497)  2 Al 2.76, 12 Li 2.88-3.02
Al (0.7500, 0.2500, 0.2503)  2 Al 2.76, 12 Li 2.88-3.02
Al (0.7500, 0.2500, 0.7449)  2 Al 2.76, 12 Li 2.91-3.04
Ag (0.2500, 0.7500, 0.0025)  6 Li 2.69-2.98, 2 Ag 2.76
Ag (0.7500, 0.2500, 0.9975)  6 Li 2.69-2.98, 2 Ag 2.76

The space-group type is Cmme. The crystal system is orthorhombic.

10.
Density functional theory data (GGA-PBE) for an optimized crystal structure of Li6Al2Ag.

abc: 5.2765 5.2765 5.2765
angles: 96.51 96.51 96.51
Last column: nearest neighbours and their distance in Å.
Sites, in units of the cell vectors:
Li (0.0000, 0.3319, 0.6681)  5 Li 2.61-2.68
Li (0.0000, 0.6681, 0.3319)  5 Li 2.61-2.68
Li (0.3319, 0.0000, 0.6681)  5 Li 2.61-2.68
Li (0.3319, 0.6681, 0.0000)  5 Li 2.61-2.68
Li (0.6681, 0.0000, 0.3319)  5 Li 2.61-2.68
Li (0.6681, 0.3319, 0.0000)  5 Li 2.61-2.68
Al (0.1666, 0.1666, 0.1666)  1 Al 2.68, 1 Ag 2.68, 12 Li 2.94-2.95
Al (0.8334, 0.8334, 0.8334)  1 Al 2.68, 1 Ag 2.68, 12 Li 2.94-2.95
Ag (0.5000, 0.5000, 0.5000)  2 Al 2.68, 12 Li 2.95

The space-group type is R-3m. The energy above the most stable polymorph in this dataset comes out at 0 kJ/mol of formula units. The crystal system is trigonal.

Quick rundown of ΔH_f (0 K), same order as above: -102; -77; -123; -109; -53; -117; 23; -69; -26; -171 meV per atom